YWBr2 | GGA-PBE | relaxed

Cell and atoms, written as POSCAR:
```
YWBr2
1.0
3.8974 0.0000 0.0000
0.0000 4.4139 0.0000
-0.2215 0.0000 5.2639
Y W Br
1 1 2
direct
0.0000 0.0000 0.0000 Y
0.5000 0.0000 0.5000 W
0.2911 0.5000 0.7256 Br
0.7089 0.5000 0.2744 Br
```

Output
Space-group type   P2/m (10)
Excess energy over the best structure of this formula in the dataset   0.390 eV/atom